This record from Alexandria via LeMat-Bulk describes an optimized crystal structure of AcUBrO4. The functional is PBE-GGA.

Cell: 6.9180 6.9180 6.9220 Å, 93.54 93.54 65.72°
With the nearest neighbours (Å) after each atom.
Sites, in units of the cell vectors:
Ac 0.2184 0.2184 0.0991  5 O 2.52-2.60
Ac 0.7816 0.7816 0.9009  5 O 2.52-2.60
U 0.3778 0.3778 0.6400  4 O 1.89-2.05
U 0.6222 0.6222 0.3600  4 O 1.89-2.05
Br 0.0320 0.0320 0.7502  2 Ac 3.12-3.16, 2 O 3.19-3.42, 1 Br 3.49
Br 0.9680 0.9680 0.2498  2 Ac 3.12-3.16, 2 O 3.19-3.42, 1 Br 3.49
O 0.1465 0.4994 0.8403  1 U 2.05
O 0.2403 0.2403 0.4754  1 U 1.89
O 0.4498 0.4498 0.3197  1 U 2.00
O 0.4994 0.1465 0.8403  1 U 2.05
O 0.5006 0.8535 0.1597  1 U 2.05
O 0.5502 0.5502 0.6803  1 U 2.00
O 0.7597 0.7597 0.5246  1 U 1.89
O 0.8535 0.5006 0.1597  1 U 2.05

The electronic total energy comes out at -8.13 eV per atom. For the volume, the calculation gives 21.512 Å³/atom. The energy relative to the elements, uncorrected is -2.861 eV per atom.



This record from Alexandria via LeMat-Bulk describes an optimized crystal structure of TbCeSe2. The functional is PBE-GGA.

Cell: 7.7089 7.7089 7.7089 Å, 30.20 30.20 30.20°
With the nearest neighbours (Å) after each atom.
Sites, in units of the cell vectors:
Tb 0.0000 0.0000 0.0000  6 Se 2.87-2.99
Ce 0.1756 0.1756 0.1756  6 Se 2.93-3.05
Se 0.5900 0.5900 0.5900  3 Tb 2.87, 3 Ce 2.93
Se 0.7521 0.7521 0.7521  3 Tb 2.99, 3 Ce 3.05

The electronic total energy comes out at -6.12 eV per atom. For the volume, the calculation gives 25.680 Å³/atom. The density of states at the Fermi level is 6.44 states/eV/f.u. The energy relative to the elements, uncorrected is -1.736 eV per atom. As for the energy above the most stable polymorph in this dataset: 0.0724 eV per atom.



This record from Alexandria via LeMat-Bulk describes an optimized crystal structure of SmHo2Re. The functional is PBE-GGA.

Cell: 11.5172 11.5172 11.5172 Å, 16.13 16.13 16.13°
With the nearest neighbours (Å) after each atom.
Sites, in units of the cell vectors:
Sm 0.0000 0.0000 0.0000  6 Sm 3.23, 6 Ho 3.54
Ho 0.4216 0.4216 0.4216  1 Re 2.67
Ho 0.5784 0.5784 0.5784  1 Re 2.67
Re 0.5000 0.5000 0.5000  2 Ho 2.67

The electronic total energy comes out at -5.79 eV per atom. For the volume, the calculation gives 25.684 Å³/atom. The density of states at the Fermi level is 5.17 states/eV/f.u.



This record from Alexandria via LeMat-Bulk describes an optimized crystal structure of RbHoRu2O8. The functional is PBE-GGA.

Cell: 5.9418 5.9418 8.0489 Å, 90.00 90.00 120.00°
With the nearest neighbours (Å) after each atom.
Sites, in units of the cell vectors:
Rb 0.0000 0.0000 0.0000  12 O 3.15-3.44
Ho 0.0000 0.0000 0.5000  6 O 2.23
Ru 0.3333 0.6667 0.7486  4 O 1.75-1.80
Ru 0.6667 0.3333 0.2514  4 O 1.75-1.80
O 0.1429 0.3375 0.6735  1 Ru 1.80
O 0.1946 0.8571 0.6735  1 Ru 1.80
O 0.3333 0.6667 0.9662  1 Ru 1.75
O 0.3375 0.1946 0.3265  1 Ru 1.80
O 0.6625 0.8054 0.6735  1 Ru 1.80
O 0.6667 0.3333 0.0338  1 Ru 1.75
O 0.8054 0.1429 0.3265  1 Ru 1.80
O 0.8571 0.6625 0.3265  1 Ru 1.80

The electronic total energy comes out at -6.81 eV per atom. For the volume, the calculation gives 20.508 Å³/atom. The density of states at the Fermi level is 1.83 states/eV/f.u. The energy relative to the elements, uncorrected is -1.495 eV per atom.



This record from Alexandria via LeMat-Bulk describes an optimized crystal structure of Pr4TlSnHg2. The functional is PBE-GGA.

Cell: 9.5618 9.5618 9.5618 Å, 33.42 33.42 33.42°
With the nearest neighbours (Å) after each atom.
Sites, in units of the cell vectors:
Pr 0.1224 0.1224 0.1224  4 Hg 3.29-3.30, 1 Sn 3.31, 3 Tl 3.39
Pr 0.3730 0.3730 0.3730  3 Sn 3.35, 1 Tl 3.44, 4 Hg 3.45-3.49
Pr 0.6270 0.6270 0.6270  3 Sn 3.35, 1 Tl 3.44, 4 Hg 3.45-3.49
Pr 0.8776 0.8776 0.8776  4 Hg 3.29-3.30, 1 Sn 3.31, 3 Tl 3.39
Tl 0.5000 0.5000 0.5000  8 Pr 3.39-3.44
Sn 0.0000 0.0000 0.0000  8 Pr 3.31-3.35
Hg 0.2441 0.2441 0.2441  8 Pr 3.29-3.49
Hg 0.7559 0.7559 0.7559  8 Pr 3.29-3.49

The electronic total energy comes out at -3.79 eV per atom. For the volume, the calculation gives 29.527 Å³/atom. The density of states at the Fermi level is 9.41 states/eV/f.u.



This record from Alexandria via LeMat-Bulk describes an optimized crystal structure of Sr4ZrTe. The functional is PBE-GGA.

Cell: 7.0412 7.0412 7.0412 Å, 60.00 60.00 60.00°
With the nearest neighbours (Å) after each atom.
Sites, in units of the cell vectors:
Sr 0.3755 0.3755 0.3755  6 Sr 3.51-3.53
Sr 0.3755 0.3755 0.8735  6 Sr 3.51-3.53
Sr 0.3755 0.8735 0.3755  6 Sr 3.51-3.53
Sr 0.8735 0.3755 0.3755  6 Sr 3.51-3.53
Zr 0.7500 0.7500 0.7500  12 Sr 4.13, 4 Te 4.31
Te 0.0000 0.0000 0.0000  12 Sr 4.13, 4 Zr 4.31

The electronic total energy comes out at -2.61 eV per atom. For the volume, the calculation gives 41.140 Å³/atom. The density of states at the Fermi level is 4.58 states/eV/f.u. The energy relative to the elements, uncorrected is 0.455 eV per atom.



This record from Alexandria via LeMat-Bulk describes an optimized crystal structure of LuSBr. The functional is PBE-GGA.

Cell: 3.9554 5.2721 9.3148 Å, 90.00 90.00 90.00°
With the nearest neighbours (Å) after each atom.
Sites, in units of the cell vectors:
Lu 0.2500 0.2500 0.1194  4 S 2.67-2.69, 2 Br 2.77
Lu 0.7500 0.7500 0.8806  4 S 2.67-2.69, 2 Br 2.77
S 0.2500 0.7500 0.0757  4 Lu 2.67-2.69
S 0.7500 0.2500 0.9243  4 Lu 2.67-2.69
Br 0.2500 0.7500 0.6723  2 Lu 2.77
Br 0.7500 0.2500 0.3277  2 Lu 2.77

The electronic total energy comes out at -5.44 eV per atom. For the volume, the calculation gives 32.374 Å³/atom. The density of states at the Fermi level is 0.00 states/eV/f.u. The energy relative to the elements, uncorrected is -2.002 eV per atom. As for the energy above the most stable polymorph in this dataset: 0.0000 eV per atom.



This record from Alexandria via LeMat-Bulk describes an optimized crystal structure of Ba2MgTa. The functional is PBE-GGA.

Cell: 6.7639 6.7639 6.2992 Å, 107.65 107.65 30.01°
With the nearest neighbours (Å) after each atom.
Sites, in units of the cell vectors:
Ba 0.0000 0.0000 0.0000  2 Ba 3.50, 3 Mg 3.55-3.79, 4 Ta 3.67-3.69
Ba 0.1963 0.1963 0.6226  2 Ba 3.50, 3 Ta 3.62-3.64, 4 Mg 3.64-3.80
Mg 0.7705 0.7705 0.1863  2 Ta 2.94
Ta 0.4409 0.4409 0.4634  2 Mg 2.94

The electronic total energy comes out at -3.58 eV per atom. For the volume, the calculation gives 34.211 Å³/atom. The density of states at the Fermi level is 4.74 states/eV/f.u.



This record from Alexandria via LeMat-Bulk describes an optimized crystal structure of Cu2HPtRh. The functional is PBE-GGA.

Cell: 3.9705 3.9705 3.6082 Å, 90.00 90.00 90.00°
With the nearest neighbours (Å) after each atom.
Sites, in units of the cell vectors:
Cu 0.0000 0.5000 0.0000  2 H 1.99
Cu 0.5000 0.0000 0.0000  2 H 1.99
H 0.0000 0.0000 0.0000  2 Rh 1.80, 4 Cu 1.99
Pt 0.5000 0.5000 0.5000  8 Cu 2.68, 4 Rh 2.81
Rh 0.0000 0.0000 0.5000  2 H 1.80

The electronic total energy comes out at -4.99 eV per atom. For the volume, the calculation gives 11.376 Å³/atom. The density of states at the Fermi level is 7.08 states/eV/f.u. As for the energy above the most stable polymorph in this dataset: 0.0000 eV per atom.



This record from Alexandria via LeMat-Bulk describes an optimized crystal structure of AlCuW. The functional is PBE-GGA.

Cell: 2.7779 2.7779 6.5970 Å, 90.00 90.00 120.00°
With the nearest neighbours (Å) after each atom.
Sites, in units of the cell vectors:
Al 0.0000 0.0000 0.0000  3 Cu 2.63, 6 Al 2.78, 3 W 2.78
Cu 0.6667 0.3333 0.3162  3 Al 2.63, 3 W 2.76, 6 Cu 2.78
W 0.3333 0.6667 0.6559  3 Cu 2.76, 6 W 2.78, 3 Al 2.78

The electronic total energy comes out at -6.82 eV per atom. For the volume, the calculation gives 14.696 Å³/atom. The density of states at the Fermi level is 1.30 states/eV/f.u. As for the energy above the most stable polymorph in this dataset: 0.0482 eV per atom.



This record from Alexandria via LeMat-Bulk describes an optimized crystal structure of Sb2RhF4. The functional is PBE-GGA.

Cell: 8.9351 8.9351 8.9351 Å, 154.15 154.15 36.89°
With the nearest neighbours (Å) after each atom.
Sites, in units of the cell vectors:
Sb 0.1431 0.1431 0.0000  1 F 1.97
Sb 0.8569 0.8569 0.0000  1 F 1.97
Rh 0.5000 0.5000 0.0000  4 F 2.00
F 0.0000 0.5000 0.5000  2 Rh 2.00
F 0.2595 0.2595 0.0000  1 Sb 1.97
F 0.5000 0.0000 0.5000  2 Rh 2.00
F 0.7405 0.7405 0.0000  1 Sb 1.97

The electronic total energy comes out at -4.22 eV per atom. For the volume, the calculation gives 19.353 Å³/atom. The density of states at the Fermi level is 5.98 states/eV/f.u. The energy relative to the elements, uncorrected is -0.921 eV per atom.



This record from Alexandria via LeMat-Bulk describes an optimized crystal structure of LaPmSm6Y2. The functional is PBE-GGA.

Cell: 8.9551 8.9551 9.5545 Å, 92.99 92.99 115.83°
With the nearest neighbours (Å) after each atom.
Sites, in units of the cell vectors:
La 0.0920 0.9080 0.7500  6 Sm 3.49-3.56, 2 Y 3.59
La 0.9080 0.0920 0.2500  6 Sm 3.49-3.56, 2 Y 3.59
Pm 0.4572 0.5428 0.2500  4 Y 3.42-3.56, 6 Sm 3.51-3.73
Pm 0.5428 0.4572 0.7500  4 Y 3.42-3.56, 6 Sm 3.51-3.73
Sm 0.0286 0.7945 0.3860  3 Sm 3.23-3.46, 3 Y 3.41-3.55, 2 La 3.52-3.56
Sm 0.0544 0.5086 0.1793  2 Sm 3.25-3.49, 1 La 3.49, 1 Pm 3.51, 2 Y 3.52-3.63
Sm 0.2055 0.9714 0.1140  3 Sm 3.23-3.46, 3 Y 3.41-3.55, 2 La 3.52-3.56
Sm 0.2627 0.6024 0.5604  6 Sm 3.46-3.82, 2 Y 3.52-3.83, 2 Pm 3.65-3.73
Sm 0.3976 0.7373 0.9396  6 Sm 3.46-3.82, 2 Y 3.52-3.83, 2 Pm 3.65-3.73
Sm 0.4914 0.9456 0.3207  2 Sm 3.25-3.49, 1 La 3.49, 1 Pm 3.51, 2 Y 3.52-3.63
Sm 0.5086 0.0544 0.6793  2 Sm 3.25-3.49, 1 La 3.49, 1 Pm 3.51, 2 Y 3.52-3.63
Sm 0.6024 0.2627 0.0604  6 Sm 3.46-3.82, 2 Y 3.52-3.83, 2 Pm 3.65-3.73
Sm 0.7373 0.3976 0.4396  6 Sm 3.46-3.82, 2 Y 3.52-3.83, 2 Pm 3.65-3.73
Sm 0.7945 0.0286 0.8860  3 Sm 3.23-3.46, 3 Y 3.41-3.55, 2 La 3.52-3.56
Sm 0.9456 0.4914 0.8207  2 Sm 3.25-3.49, 1 La 3.49, 1 Pm 3.51, 2 Y 3.52-3.63
Sm 0.9714 0.2055 0.6140  3 Sm 3.23-3.46, 3 Y 3.41-3.55, 2 La 3.52-3.56
Y 0.2057 0.3007 0.9452  6 Sm 3.41-3.63, 2 Pm 3.42-3.56, 1 La 3.59
Y 0.3007 0.2057 0.4452  6 Sm 3.41-3.63, 2 Pm 3.42-3.56, 1 La 3.59
Y 0.6993 0.7943 0.5548  6 Sm 3.41-3.63, 2 Pm 3.42-3.56, 1 La 3.59
Y 0.7943 0.6993 0.0548  6 Sm 3.41-3.63, 2 Pm 3.42-3.56, 1 La 3.59

The electronic total energy comes out at -4.97 eV per atom. For the volume, the calculation gives 34.318 Å³/atom. The density of states at the Fermi level is 13.77 states/eV/f.u.